# 1
## Ac3Ge3Au8 (PBE)

Data for an optimized crystal structure of Ac3Ge3Au8.

The structure in CIF format:
```
data_Ac3Ge3Au8
_symmetry_space_group_name_H-M 'P 1'
_symmetry_Int_Tables_number 1
_cell_length_a 4.761
_cell_length_b 9.011
_cell_length_c 8.776
_cell_angle_alpha 64.08
_cell_angle_beta 74.26
_cell_angle_gamma 74.68
loop_
_symmetry_equiv_pos_as_xyz
'x,y,z'
loop_
_atom_site_label
_atom_site_type_symbol
_atom_site_fract_x
_atom_site_fract_y
_atom_site_fract_z
_atom_site_occupancy
Ac1 Ac 0.301 0.711 0.688 1
Ac2 Ac 0.699 0.289 0.312 1
Ac3 Ac 0.000 0.000 0.000 1
Ge1 Ge 0.000 0.500 0.500 1
Ge2 Ge 0.668 0.684 0.979 1
Ge3 Ge 0.332 0.316 0.021 1
Au1 Au 0.128 0.158 0.586 1
Au2 Au 0.872 0.842 0.414 1
Au3 Au 0.857 0.419 0.866 1
Au4 Au 0.143 0.581 0.134 1
Au5 Au 0.508 0.683 0.300 1
Au6 Au 0.492 0.317 0.700 1
Au7 Au 0.349 0.027 0.275 1
Au8 Au 0.651 0.973 0.725 1
```

Its formation enthalpy at 0 K is -611 meV per atom. For the total DFT energy (no corrections), the calculation gives -60.945 eV per cell. The density is 12.789 g/cm3.

# 2
## Pr7Ge2Pd2 (PBE)

Data for an optimized crystal structure of Pr7Ge2Pd2.

The structure in CIF format:
```
data_Pr7Ge2Pd2
_symmetry_space_group_name_H-M 'P 1'
_symmetry_Int_Tables_number 1
_cell_length_a 6.976
_cell_length_b 7.127
_cell_length_c 6.976
_cell_angle_alpha 90.00
_cell_angle_beta 107.95
_cell_angle_gamma 90.00
loop_
_symmetry_equiv_pos_as_xyz
'x,y,z'
loop_
_atom_site_label
_atom_site_type_symbol
_atom_site_fract_x
_atom_site_fract_y
_atom_site_fract_z
_atom_site_occupancy
Pr1 Pr 0.000 0.275 0.500 1
Pr2 Pr 0.500 0.725 0.000 1
Pr3 Pr 0.000 0.725 0.500 1
Pr4 Pr 0.500 0.275 0.000 1
Pr5 Pr 0.000 0.000 0.000 1
Pr6 Pr 0.500 0.742 0.500 1
Pr7 Pr 0.500 0.258 0.500 1
Ge1 Ge 0.837 0.500 0.837 1
Ge2 Ge 0.163 0.500 0.163 1
Pd1 Pd 0.717 0.000 0.283 1
Pd2 Pd 0.283 0.000 0.717 1
```

Its formation enthalpy at 0 K is -345 meV per atom. For the total DFT energy (no corrections), the calculation gives -56.867 eV per cell. The density is 6.767 g/cm3.

# 3
## ZrCuNi5 (PBE)

Data for an optimized crystal structure of ZrCuNi5.

The structure in CIF format:
```
data_ZrCuNi5
_symmetry_space_group_name_H-M 'P 1'
_symmetry_Int_Tables_number 1
_cell_length_a 4.689
_cell_length_b 7.742
_cell_length_c 9.755
_cell_angle_alpha 90.00
_cell_angle_beta 90.00
_cell_angle_gamma 90.00
loop_
_symmetry_equiv_pos_as_xyz
'x,y,z'
loop_
_atom_site_label
_atom_site_type_symbol
_atom_site_fract_x
_atom_site_fract_y
_atom_site_fract_z
_atom_site_occupancy
Zr1 Zr 0.250 0.244 0.939 1
Zr2 Zr 0.750 0.256 0.439 1
Zr3 Zr 0.250 0.744 0.561 1
Zr4 Zr 0.750 0.756 0.061 1
Cu1 Cu 0.250 0.856 0.854 1
Cu2 Cu 0.750 0.644 0.354 1
Cu3 Cu 0.250 0.356 0.646 1
Cu4 Cu 0.750 0.144 0.146 1
Ni1 Ni 0.250 0.596 0.018 1
Ni2 Ni 0.750 0.904 0.518 1
Ni3 Ni 0.250 0.096 0.482 1
Ni4 Ni 0.750 0.404 0.982 1
Ni5 Ni 0.750 0.313 0.749 1
Ni6 Ni 0.250 0.187 0.249 1
Ni7 Ni 0.750 0.813 0.751 1
Ni8 Ni 0.250 0.687 0.251 1
Ni9 Ni 0.250 0.951 0.089 1
Ni10 Ni 0.750 0.549 0.589 1
Ni11 Ni 0.250 0.451 0.411 1
Ni12 Ni 0.750 0.049 0.911 1
Ni13 Ni 0.994 0.433 0.194 1
Ni14 Ni 0.006 0.067 0.694 1
Ni15 Ni 0.506 0.933 0.306 1
Ni16 Ni 0.494 0.567 0.806 1
Ni17 Ni 0.006 0.567 0.806 1
Ni18 Ni 0.994 0.933 0.306 1
Ni19 Ni 0.494 0.067 0.694 1
Ni20 Ni 0.506 0.433 0.194 1
```

Its formation enthalpy at 0 K is -214 meV per atom. For the total DFT energy (no corrections), the calculation gives -172.208 eV per cell. The density is 8.407 g/cm3.

# 4
## SrMoRh2 (PBE)

Data for an optimized crystal structure of SrMoRh2.

The structure in CIF format:
```
data_SrMoRh2
_symmetry_space_group_name_H-M 'P 1'
_symmetry_Int_Tables_number 1
_cell_length_a 4.643
_cell_length_b 4.643
_cell_length_c 4.643
_cell_angle_alpha 60.00
_cell_angle_beta 60.00
_cell_angle_gamma 60.00
loop_
_symmetry_equiv_pos_as_xyz
'x,y,z'
loop_
_atom_site_label
_atom_site_type_symbol
_atom_site_fract_x
_atom_site_fract_y
_atom_site_fract_z
_atom_site_occupancy
Mo1 Mo 0.500 0.500 0.500 1
Rh1 Rh 0.000 0.000 0.000 1
Rh2 Rh 0.250 0.250 0.250 1
Sr1 Sr 0.750 0.750 0.750 1
```

Its formation enthalpy at 0 K is 635 meV per atom. For the total DFT energy (no corrections), the calculation gives -24.676 eV per cell. The energy above the most stable polymorph in this dataset comes out at 614 meV per atom. The density is 9.133 g/cm3.

# 5
## B5C7 (PBE)

Data for an optimized crystal structure of B5C7.

The structure in CIF format:
```
data_B5C7
_symmetry_space_group_name_H-M 'P 1'
_symmetry_Int_Tables_number 1
_cell_length_a 4.676
_cell_length_b 4.676
_cell_length_c 7.502
_cell_angle_alpha 114.13
_cell_angle_beta 114.13
_cell_angle_gamma 32.54
loop_
_symmetry_equiv_pos_as_xyz
'x,y,z'
loop_
_atom_site_label
_atom_site_type_symbol
_atom_site_fract_x
_atom_site_fract_y
_atom_site_fract_z
_atom_site_occupancy
B1 B 0.665 0.665 0.360 1
B2 B 0.170 0.170 0.185 1
B3 B 0.835 0.835 0.035 1
B4 B 0.541 0.541 0.921 1
B5 B 0.296 0.296 0.620 1
C1 C 0.491 0.491 0.379 1
C2 C 0.345 0.345 0.182 1
C3 C 0.000 0.000 0.996 1
C4 C 0.665 0.665 0.820 1
C5 C 0.157 0.157 0.703 1
C6 C 0.993 0.993 0.502 1
C7 C 0.841 0.841 0.547 1
```

Its formation enthalpy at 0 K is 298 meV per atom. For the total DFT energy (no corrections), the calculation gives -94.378 eV per cell. The energy above the most stable polymorph in this dataset comes out at 40 meV per atom. The density is 2.874 g/cm3.

# 6
## Na16Cd12Ga (PBE)

Data for an optimized crystal structure of Na16Cd12Ga.

The structure in CIF format:
```
data_Na16Cd12Ga
_symmetry_space_group_name_H-M 'P 1'
_symmetry_Int_Tables_number 1
_cell_length_a 10.025
_cell_length_b 10.025
_cell_length_c 9.897
_cell_angle_alpha 108.57
_cell_angle_beta 108.57
_cell_angle_gamma 109.46
loop_
_symmetry_equiv_pos_as_xyz
'x,y,z'
loop_
_atom_site_label
_atom_site_type_symbol
_atom_site_fract_x
_atom_site_fract_y
_atom_site_fract_z
_atom_site_occupancy
Na1 Na 0.368 0.368 0.330 1
Na2 Na 0.996 0.996 0.000 1
Na3 Na 0.995 0.995 0.637 1
Na4 Na 0.307 0.307 0.708 1
Na5 Na 0.667 0.423 0.017 1
Na6 Na 0.588 0.285 0.593 1
Na7 Na 0.004 0.682 0.411 1
Na8 Na 0.997 0.641 0.005 1
Na9 Na 0.708 0.323 0.305 1
Na10 Na 0.407 0.994 0.679 1
Na11 Na 0.994 0.407 0.679 1
Na12 Na 0.323 0.708 0.305 1
Na13 Na 0.641 0.997 0.005 1
Na14 Na 0.682 0.004 0.411 1
Na15 Na 0.285 0.588 0.593 1
Na16 Na 0.423 0.667 0.017 1
Cd1 Cd 0.817 0.817 0.199 1
Cd2 Cd 0.647 0.647 0.831 1
Cd3 Cd 0.345 0.167 0.979 1
Cd4 Cd 0.823 0.637 0.632 1
Cd5 Cd 0.184 0.999 0.359 1
Cd6 Cd 0.368 0.999 0.182 1
Cd7 Cd 0.179 0.802 0.819 1
Cd8 Cd 0.802 0.179 0.819 1
Cd9 Cd 0.999 0.368 0.182 1
Cd10 Cd 0.999 0.184 0.359 1
Cd11 Cd 0.637 0.823 0.632 1
Cd12 Cd 0.167 0.345 0.979 1
Ga1 Ga 0.649 0.649 0.336 1
```

Its formation enthalpy at 0 K is -82 meV per atom. For the total DFT energy (no corrections), the calculation gives -37.499 eV per cell. The density is 3.792 g/cm3.

# 7
## ScTc2Hg (PBE)

Data for an optimized crystal structure of ScTc2Hg.

The structure in CIF format:
```
data_ScTc2Hg
_symmetry_space_group_name_H-M 'P 1'
_symmetry_Int_Tables_number 1
_cell_length_a 3.984
_cell_length_b 3.984
_cell_length_c 10.217
_cell_angle_alpha 78.76
_cell_angle_beta 78.76
_cell_angle_gamma 90.00
loop_
_symmetry_equiv_pos_as_xyz
'x,y,z'
loop_
_atom_site_label
_atom_site_type_symbol
_atom_site_fract_x
_atom_site_fract_y
_atom_site_fract_z
_atom_site_occupancy
Sc1 Sc 0.500 0.500 0.000 1
Sc2 Sc 0.250 0.750 0.500 1
Hg1 Hg 0.000 0.000 0.000 1
Hg2 Hg 0.750 0.250 0.500 1
Tc1 Tc 0.550 0.125 0.250 1
Tc2 Tc 0.200 0.625 0.250 1
Tc3 Tc 0.375 0.450 0.750 1
Tc4 Tc 0.875 0.800 0.750 1
```

Its formation enthalpy at 0 K is 465 meV per atom. For the total DFT energy (no corrections), the calculation gives -51.010 eV per cell. The density is 9.408 g/cm3.

# 8
## NdHfPd (PBE)

Data for an optimized crystal structure of NdHfPd.

The structure in CIF format:
```
data_NdHfPd
_symmetry_space_group_name_H-M 'P 1'
_symmetry_Int_Tables_number 1
_cell_length_a 3.567
_cell_length_b 3.561
_cell_length_c 13.466
_cell_angle_alpha 90.00
_cell_angle_beta 90.00
_cell_angle_gamma 120.06
loop_
_symmetry_equiv_pos_as_xyz
'x,y,z'
loop_
_atom_site_label
_atom_site_type_symbol
_atom_site_fract_x
_atom_site_fract_y
_atom_site_fract_z
_atom_site_occupancy
Pd1 Pd 0.611 0.222 0.000 1
Pd2 Pd 0.277 0.555 0.500 1
Nd1 Nd 0.612 0.223 0.336 1
Nd2 Nd 0.612 0.223 0.664 1
Hf1 Hf 0.277 0.555 0.867 1
Hf2 Hf 0.277 0.555 0.133 1
```

Its formation enthalpy at 0 K is -161 meV per atom. For the total DFT energy (no corrections), the calculation gives -40.792 eV per cell. The energy above the most stable polymorph in this dataset comes out at 216 meV per atom. The density is 9.628 g/cm3.